{
  "formula": "YVOs",
  "functional": "PBE",
  "state": "optimized geometry",
  "spacegroup": "Cmcm, No. 63",
  "formation_enthalpy_0k_ev_per_atom": -0.0507,
  "lattice": [[-3.234, 1.403, 1.184], [-1.812, -3.996, -0.214], [3.674, -2.019, 6.591]],
  "species": ["Os", "V", "V", "Y", "Os", "Y"],
  "fractional_positions": [[0.344, 0.750, 0.689], [0.254, 0.250, 0.507], [0.746, 0.750, 0.493], [0.084, 0.750, 0.167], [0.656, 0.250, 0.311], [0.916, 0.250, 0.833]]
}

{
  "formula": "YV2Os",
  "functional": "PBE",
  "state": "optimized geometry",
  "de_polymorph_ev_per_atom": 0.056,
  "spacegroup": "Fm-3m, No. 225",
  "formation_enthalpy_0k_ev_per_atom": 0.1986,
  "lattice": [[-3.701, 0.683, 2.482], [-3.987, 0.600, -2.016], [-3.162, -3.203, 0.261]],
  "species": ["V", "V", "Os", "Y"],
  "fractional_positions": [[0.250, 0.250, 0.250], [0.750, 0.750, 0.750], [0.500, 0.500, 0.500], [0.000, 0.000, 0.000]]
}

{
  "formula": "YVOs2",
  "functional": "PBE",
  "state": "optimized geometry",
  "de_polymorph_ev_per_atom": 0.508,
  "spacegroup": "I-42d, No. 122",
  "formation_enthalpy_0k_ev_per_atom": 0.3896,
  "lattice": [[-1.881, -6.864, -1.083], [6.144, -1.119, -3.581], [3.409, -4.724, 0.089]],
  "species": ["V", "Os", "Y", "Y", "Os", "Os", "Os", "V"],
  "fractional_positions": [[0.500, 0.500, 0.000], [0.875, 0.822, 0.750], [0.000, 0.000, 0.000], [0.750, 0.250, 0.500], [0.572, 0.125, 0.250], [0.375, 0.428, 0.750], [0.178, 0.625, 0.250], [0.250, 0.750, 0.500]]
}

{
  "formula": "Y2V2Os",
  "functional": "PBE",
  "state": "optimized geometry",
  "de_polymorph_ev_per_atom": 0.000,
  "spacegroup": "I4/mmm, No. 139",
  "formation_enthalpy_0k_ev_per_atom": 0.3086,
  "lattice": [[-1.551, -1.098, -2.752], [-2.310, -1.497, 1.899], [-7.138, 6.511, -0.606]],
  "species": ["Os", "Y", "V", "Y", "V"],
  "fractional_positions": [[0.000, 0.000, 0.000], [0.591, 0.591, 0.819], [0.750, 0.250, 0.500], [0.409, 0.409, 0.181], [0.250, 0.750, 0.500]]
}

{
  "formula": "YVOs2",
  "functional": "PBE",
  "state": "optimized geometry",
  "de_polymorph_ev_per_atom": 0.000,
  "spacegroup": "P4/mmm, No. 123",
  "formation_enthalpy_0k_ev_per_atom": -0.1182,
  "lattice": [[3.099, 0.000, 0.000], [0.000, 3.099, 0.000], [0.000, 0.000, 6.983]],
  "species": ["Y", "Os", "Os", "V"],
  "fractional_positions": [[0.500, 0.500, 0.500], [0.000, 0.000, 0.205], [0.000, 0.000, 0.795], [0.500, 0.500, 0.000]]
}

{
  "formula": "YV2Os2",
  "functional": "PBE",
  "state": "optimized geometry",
  "de_polymorph_ev_per_atom": 0.217,
  "spacegroup": "P4/mbm, No. 127",
  "formation_enthalpy_0k_ev_per_atom": -0.0372,
  "lattice": [[7.577, 0.000, 0.000], [0.000, 7.577, 0.000], [0.000, 0.000, 2.842]],
  "species": ["Os", "V", "Os", "V", "Os", "Y", "V", "Y", "Os", "V"],
  "fractional_positions": [[0.647, 0.853, 0.500], [0.358, 0.858, 0.000], [0.853, 0.353, 0.500], [0.642, 0.142, 0.000], [0.353, 0.147, 0.500], [0.000, 0.000, 0.000], [0.142, 0.358, 0.000], [0.500, 0.500, 0.000], [0.147, 0.647, 0.500], [0.858, 0.642, 0.000]]
}

{
  "formula": "YV2Os2",
  "functional": "PBE",
  "state": "optimized geometry",
  "de_polymorph_ev_per_atom": 0.272,
  "spacegroup": "P4/mbm, No. 127",
  "formation_enthalpy_0k_ev_per_atom": 0.0179,
  "lattice": [[7.588, 0.000, 0.000], [0.000, 7.588, 0.000], [0.000, 0.000, 2.883]],
  "species": ["V", "Os", "V", "Os", "Y", "Os", "Os", "V", "V", "Y"],
  "fractional_positions": [[0.645, 0.855, 0.500], [0.859, 0.641, 0.000], [0.145, 0.645, 0.500], [0.641, 0.141, 0.000], [0.500, 0.500, 0.000], [0.359, 0.859, 0.000], [0.141, 0.359, 0.000], [0.855, 0.355, 0.500], [0.355, 0.145, 0.500], [0.000, 0.000, 0.000]]
}

{
  "formula": "Y2VOs2",
  "functional": "PBE",
  "state": "optimized geometry",
  "spacegroup": "P4/mbm, No. 127",
  "formation_enthalpy_0k_ev_per_atom": -0.0879,
  "lattice": [[-0.357, 4.847, -4.444], [-1.941, -4.330, -4.566], [-4.471, 0.756, 1.184]],
  "species": ["Y", "V", "Os", "Y", "Os", "Y", "Y", "V", "Os", "Os"],
  "fractional_positions": [[0.321, 0.179, 0.500], [0.500, 0.500, 0.000], [0.368, 0.868, 0.000], [0.679, 0.821, 0.500], [0.132, 0.368, 0.000], [0.821, 0.321, 0.500], [0.179, 0.679, 0.500], [0.000, 0.000, 0.000], [0.632, 0.132, 0.000], [0.868, 0.632, 0.000]]
}

{
  "formula": "YVOs2",
  "functional": "PBE",
  "state": "optimized geometry",
  "de_polymorph_ev_per_atom": 0.173,
  "spacegroup": "Fm-3m, No. 225",
  "formation_enthalpy_0k_ev_per_atom": 0.0544,
  "lattice": [[0.000, 3.212, 3.212], [3.212, 0.000, 3.212], [3.212, 3.212, 0.000]],
  "species": ["V", "Os", "Y", "Os"],
  "fractional_positions": [[0.000, 0.000, 0.000], [0.750, 0.750, 0.750], [0.500, 0.500, 0.500], [0.250, 0.250, 0.250]]
}

{
  "formula": "Y2V2Os",
  "functional": "PBE",
  "state": "optimized geometry",
  "de_polymorph_ev_per_atom": 0.549,
  "spacegroup": "P4/mbm, No. 127",
  "formation_enthalpy_0k_ev_per_atom": 0.8580,
  "lattice": [[-2.200, 7.682, -0.538], [-5.842, -2.029, -5.088], [-2.101, -0.421, 2.580]],
  "species": ["V", "V", "Y", "Y", "Os", "Y", "V", "Y", "Os", "V"],
  "fractional_positions": [[0.417, 0.083, 0.500], [0.583, 0.917, 0.500], [0.707, 0.207, 0.000], [0.793, 0.707, 0.000], [0.000, 0.000, 0.000], [0.207, 0.293, 0.000], [0.083, 0.583, 0.500], [0.293, 0.793, 0.000], [0.500, 0.500, 0.000], [0.917, 0.417, 0.500]]
}

{
  "formula": "YV2Os2",
  "functional": "PBE",
  "state": "optimized geometry",
  "de_polymorph_ev_per_atom": 0.000,
  "spacegroup": "I4/mmm, No. 139",
  "formation_enthalpy_0k_ev_per_atom": -0.2543,
  "lattice": [[4.168, 0.000, 0.000], [0.000, 4.168, 0.000], [2.084, 2.084, 5.217]],
  "species": ["V", "Y", "Os", "Os", "V"],
  "fractional_positions": [[0.250, 0.750, 0.500], [0.000, 0.000, 0.000], [0.378, 0.378, 0.245], [0.622, 0.622, 0.755], [0.750, 0.250, 0.500]]
}

{
  "formula": "Y3VOs",
  "functional": "PBE",
  "state": "optimized geometry",
  "de_polymorph_ev_per_atom": 0.000,
  "spacegroup": "Pm-3m, No. 221",
  "formation_enthalpy_0k_ev_per_atom": 0.4376,
  "lattice": [[-4.790, 2.370, -0.400], [-0.576, -0.266, 5.322], [2.334, 4.799, 0.493]],
  "species": ["Os", "Y", "V", "Y", "Y"],
  "fractional_positions": [[0.000, 0.000, 0.000], [0.000, 0.000, 0.500], [0.500, 0.500, 0.500], [0.500, 0.000, 0.000], [0.000, 0.500, 0.000]]
}

{
  "formula": "VZn2Os",
  "functional": "PBE",
  "state": "optimized geometry",
  "de_polymorph_ev_per_atom": 0.000,
  "spacegroup": "Fm-3m, No. 225",
  "formation_enthalpy_0k_ev_per_atom": 0.2193,
  "lattice": [[0.000, 3.018, 3.018], [3.018, 0.000, 3.018], [3.018, 3.018, 0.000]],
  "species": ["Zn", "Zn", "V", "Os"],
  "fractional_positions": [[0.250, 0.250, 0.250], [0.750, 0.750, 0.750], [0.000, 0.000, 0.000], [0.500, 0.500, 0.500]]
}

{
  "formula": "V3ZnOs",
  "functional": "PBE",
  "state": "optimized geometry",
  "spacegroup": "Pm-3m, No. 221",
  "formation_enthalpy_0k_ev_per_atom": 1.5165,
  "lattice": [[4.349, 0.000, 0.000], [0.000, 4.349, 0.000], [0.000, 0.000, 4.349]],
  "species": ["Zn", "V", "Os", "V", "V"],
  "fractional_positions": [[0.000, 0.000, 0.000], [0.000, 0.500, 0.000], [0.500, 0.500, 0.500], [0.500, 0.000, 0.000], [0.000, 0.000, 0.500]]
}